AlAuBr, optimized geometry, DFT PBE-GGA; relative energy among the computed polymorphs = 62.8 kJ/mol of atoms; space-group type = No. 216; formation energy without anion corrections = 0.2065 eV per atom
1.0
0.0000 3.3708 3.3708
3.3708 0.0000 3.3708
3.3708 3.3708 0.0000
Al Au Br
1 1 1
Direct
0.0000 0.0000 0.0000
0.2500 0.2500 0.2500
0.5000 0.5000 0.5000